{
  "formula": "CuAg",
  "functional": "PBE",
  "state": "relaxed",
  "lattice_angstrom": [[7.3276, -1.8400, 0.0000], [7.3276, 1.8400, 0.0000], [-1.0767, 0.0000, 5.5473]],
  "species": ["Ag", "Ag", "Ag", "Ag", "Ag", "Cu", "Cu", "Cu", "Cu", "Cu"],
  "fractional_positions": [[0.3092, 0.3092, 0.4052], [0.3067, 0.3067, 0.9023], [0.6908, 0.6908, 0.5948], [0.6933, 0.6933, 0.0977], [0.5000, 0.5000, 0.0000], [0.0899, 0.0899, 0.3091], [0.9096, 0.9096, 0.2189], [0.0904, 0.0904, 0.7811], [0.9101, 0.9101, 0.6909], [0.5000, 0.5000, 0.5000]],
  "ef_mev_per_atom": 88,
  "energy_ev_per_cell": -31.83,
  "sg": "C2/m (12)"
}